Below is an optimized crystal structure of YCr2Au, with properties calculated at the PBE level.

As for the size of the total moment: 1.92 μB per atom. The formation energy from the elements is 0.2289 eV per atom. The raw total energy comes out at -7.0182 eV per atom. For the energy above the lowest structure with this stoichiometry, the calculation gives 0.75 eV per formula unit.

Cell lengths 4.2652, 4.2475, 4.2852 Å; angles 90.00, 90.00, 90.00 degrees
Closest atoms and distances in Å follow each position.
Fractional coordinates of all 4 atoms:
Y 0.5000 0.0000 0.5000  4 Au 3.01, 8 Cr 3.02
Cr 0.5000 0.5000 0.0000  4 Cr 3.01, 4 Y 3.02, 4 Au 3.02
Cr 0.0000 0.0000 0.0000  4 Cr 3.01, 4 Au 3.02, 4 Y 3.02
Au 0.0000 0.5000 0.5000  4 Y 3.01, 8 Cr 3.02